# 1
# NaAc2Sb3Pt4, relaxed, DFT PBE
# ΔE_f (raw) (eV/atom): -0.8441
# Calculated total energy (eV/atom): -5.4507
# Density (Mg/m³): 11.32
data_NaAc2Sb3Pt4
_chemical_formula_sum 'Na1 Ac2 Sb3 Pt4'
_symmetry_space_group_name_H-M 'P -4 m 2'
_symmetry_Int_Tables_number 115
_cell_length_a 4.6623
_cell_length_b 4.6623
_cell_length_c 10.9527
_cell_angle_alpha 90.00
_cell_angle_beta 90.00
_cell_angle_gamma 90.00
loop_
_symmetry_equiv_pos_as_xyz
'x,y,z'
'y,-x,-z'
'-x,-y,z'
'-y,x,-z'
'-x,y,z'
'-y,-x,-z'
'x,-y,z'
'y,x,-z'
loop_
_atom_site_label
_atom_site_type_symbol
_atom_site_fract_x
_atom_site_fract_y
_atom_site_fract_z
Na1 Na 0.0000 0.0000 0.0000
Ac1 Ac 0.0000 0.5000 0.7373
Sb1 Sb 0.0000 0.5000 0.3737
Sb2 Sb 0.5000 0.5000 0.0000
Pt1 Pt 0.0000 0.0000 0.5000
Pt2 Pt 0.0000 0.5000 0.1356
Pt3 Pt 0.5000 0.5000 0.5000


# 2
# NaAcSbPt, relaxed, DFT PBE
# ΔE_f (raw) (eV/atom): -0.5563
# Calculated total energy (eV/atom): -4.4540
# Density (Mg/m³): 9.48
data_NaAcSbPt
_chemical_formula_sum 'Na4 Ac4 Sb4 Pt4'
_symmetry_space_group_name_H-M 'F -4 3 m'
_symmetry_Int_Tables_number 216
_symmetry_space_group_name_Hall 'F -4 2 3'
_cell_length_a 7.3513
_cell_length_b 7.3513
_cell_length_c 7.3513
_cell_angle_alpha 90.00
_cell_angle_beta 90.00
_cell_angle_gamma 90.00
loop_
_atom_site_label
_atom_site_type_symbol
_atom_site_fract_x
_atom_site_fract_y
_atom_site_fract_z
Na1 Na 0.0000 0.0000 0.0000
Ac1 Ac 0.2500 0.2500 0.7500
Sb1 Sb 0.2500 0.2500 0.2500
Pt1 Pt 0.0000 0.0000 0.5000


# 3
# NaAcPtSe, relaxed, DFT PBE
# ΔE_f (raw) (eV/atom): -1.0519
# Calculated total energy (eV/atom): -4.7901
# Density (Mg/m³): 8.66
data_NaAcPtSe
_chemical_formula_sum 'Na4 Ac4 Pt4 Se4'
_symmetry_space_group_name_H-M 'F -4 3 m'
_symmetry_Int_Tables_number 216
_symmetry_space_group_name_Hall 'F -4 2 3'
_cell_length_a 7.3795
_cell_length_b 7.3795
_cell_length_c 7.3795
_cell_angle_alpha 90.00
_cell_angle_beta 90.00
_cell_angle_gamma 90.00
loop_
_atom_site_label
_atom_site_type_symbol
_atom_site_fract_x
_atom_site_fract_y
_atom_site_fract_z
Na1 Na 0.0000 0.0000 0.0000
Ac1 Ac 0.0000 0.0000 0.5000
Pt1 Pt 0.2500 0.2500 0.2500
Se1 Se 0.2500 0.2500 0.7500


# 4
# NaAcSi2Pt2, relaxed, DFT PBE
# ΔE_f (raw) (eV/atom): -0.7234
# Calculated total energy (eV/atom): -5.4493
# Density (Mg/m³): 8.52
data_NaAcSi2Pt2
_chemical_formula_sum 'Na1 Ac1 Si2 Pt2'
_symmetry_space_group_name_H-M 'P -3 m 1'
_symmetry_Int_Tables_number 164
_symmetry_space_group_name_Hall '-P 3 2"'
_cell_length_a 4.1640
_cell_length_b 4.1640
_cell_length_c 9.0329
_cell_angle_alpha 90.00
_cell_angle_beta 90.00
_cell_angle_gamma 120.00
loop_
_atom_site_label
_atom_site_type_symbol
_atom_site_fract_x
_atom_site_fract_y
_atom_site_fract_z
Na1 Na 0.0000 0.0000 0.0000
Ac1 Ac 0.0000 0.0000 0.5000
Si1 Si 0.3333 0.6667 0.7602
Pt1 Pt 0.3333 0.6667 0.2475


# 5
# NaAc2Si3Pt12, relaxed, DFT PBE
# ΔE_f (raw) (eV/atom): -0.4548
# Calculated total energy (eV/atom): -5.9156
# Density (Mg/m³): 13.11
data_NaAc2Si3Pt12
_chemical_formula_sum 'Na3 Ac6 Si9 Pt36'
_symmetry_space_group_name_H-M 'R -3 m'
_symmetry_Int_Tables_number 166
_symmetry_space_group_name_Hall '-R 3 2"'
_cell_length_a 8.4351
_cell_length_b 8.4351
_cell_length_c 17.8946
_cell_angle_alpha 90.00
_cell_angle_beta 90.00
_cell_angle_gamma 120.00
loop_
_atom_site_label
_atom_site_type_symbol
_atom_site_fract_x
_atom_site_fract_y
_atom_site_fract_z
Na1 Na 0.0000 0.0000 0.0000
Ac1 Ac 0.0000 0.0000 0.3882
Si1 Si 0.0000 0.5000 0.5000
Pt1 Pt 0.0064 0.5032 0.3707
Pt2 Pt 0.0360 0.5180 0.8658


# 6
# NaAcSnPt, relaxed, DFT PBE
# Calculated total energy (eV/atom): -4.4493
# E_form (meV per atom): -581
# Density (Mg/m³): 9.66
data_NaAcSnPt
_chemical_formula_sum 'Na4 Ac4 Sn4 Pt4'
_symmetry_space_group_name_H-M 'F -4 3 m'
_symmetry_Int_Tables_number 216
_symmetry_space_group_name_Hall 'F -4 2 3'
_cell_length_a 7.2923
_cell_length_b 7.2923
_cell_length_c 7.2923
_cell_angle_alpha 90.00
_cell_angle_beta 90.00
_cell_angle_gamma 90.00
loop_
_atom_site_label
_atom_site_type_symbol
_atom_site_fract_x
_atom_site_fract_y
_atom_site_fract_z
Na1 Na 0.0000 0.0000 0.0000
Ac1 Ac 0.2500 0.2500 0.7500
Sn1 Sn 0.2500 0.2500 0.2500
Pt1 Pt 0.0000 0.0000 0.5000


# 7
# NaAcSn2Pt2, relaxed, DFT PBE
# Calculated total energy (eV/atom): -4.9829
# E_form (meV per atom): -730
# Density (Mg/m³): 10.29
data_NaAcSn2Pt2
_chemical_formula_sum 'Na1 Ac1 Sn2 Pt2'
_symmetry_space_group_name_H-M 'P -3 m 1'
_symmetry_Int_Tables_number 164
_symmetry_space_group_name_Hall '-P 3 2"'
_cell_length_a 4.7335
_cell_length_b 4.7335
_cell_length_c 7.2947
_cell_angle_alpha 90.00
_cell_angle_beta 90.00
_cell_angle_gamma 120.00
loop_
_atom_site_label
_atom_site_type_symbol
_atom_site_fract_x
_atom_site_fract_y
_atom_site_fract_z
Na1 Na 0.0000 0.0000 0.0000
Ac1 Ac 0.0000 0.0000 0.5000
Sn1 Sn 0.3333 0.6667 0.8138
Pt1 Pt 0.3333 0.6667 0.2157


# 8
# NaAc2Sn3Pt4, relaxed, DFT PBE
# Calculated total energy (eV/atom): -5.3769
# E_form (meV per atom): -806
# Density (Mg/m³): 11.20
data_NaAc2Sn3Pt4
_chemical_formula_sum 'Na1 Ac2 Sn3 Pt4'
_symmetry_space_group_name_H-M 'P -4 m 2'
_symmetry_Int_Tables_number 115
_cell_length_a 4.6468
_cell_length_b 4.6468
_cell_length_c 11.0773
_cell_angle_alpha 90.00
_cell_angle_beta 90.00
_cell_angle_gamma 90.00
loop_
_symmetry_equiv_pos_as_xyz
'x,y,z'
'y,-x,-z'
'-x,-y,z'
'-y,x,-z'
'-x,y,z'
'-y,-x,-z'
'x,-y,z'
'y,x,-z'
loop_
_atom_site_label
_atom_site_type_symbol
_atom_site_fract_x
_atom_site_fract_y
_atom_site_fract_z
Na1 Na 0.0000 0.0000 0.0000
Ac1 Ac 0.0000 0.5000 0.7426
Sn1 Sn 0.0000 0.5000 0.3770
Sn2 Sn 0.5000 0.5000 0.0000
Pt1 Pt 0.0000 0.0000 0.5000
Pt2 Pt 0.0000 0.5000 0.1396
Pt3 Pt 0.5000 0.5000 0.5000


# 9
# NaAc2Sn4Pt3, relaxed, DFT PBE
# Calculated total energy (eV/atom): -5.1071
# E_form (meV per atom): -740
# Density (Mg/m³): 10.29
data_NaAc2Sn4Pt3
_chemical_formula_sum 'Na1 Ac2 Sn4 Pt3'
_symmetry_space_group_name_H-M 'P -4 m 2'
_symmetry_Int_Tables_number 115
_cell_length_a 4.7101
_cell_length_b 4.7101
_cell_length_c 11.1797
_cell_angle_alpha 90.00
_cell_angle_beta 90.00
_cell_angle_gamma 90.00
loop_
_symmetry_equiv_pos_as_xyz
'x,y,z'
'y,-x,-z'
'-x,-y,z'
'-y,x,-z'
'-x,y,z'
'-y,-x,-z'
'x,-y,z'
'y,x,-z'
loop_
_atom_site_label
_atom_site_type_symbol
_atom_site_fract_x
_atom_site_fract_y
_atom_site_fract_z
Na1 Na 0.0000 0.0000 0.0000
Ac1 Ac 0.0000 0.5000 0.7493
Sn1 Sn 0.0000 0.0000 0.5000
Sn2 Sn 0.0000 0.5000 0.1392
Sn3 Sn 0.5000 0.5000 0.5000
Pt1 Pt 0.0000 0.5000 0.3776
Pt2 Pt 0.5000 0.5000 0.0000


# 10
# NaAcTePt, relaxed, DFT PBE
# ΔE_f (raw) (eV/atom): -0.8717
# Calculated total energy (eV/atom): -4.5242
# Density (Mg/m³): 8.56
data_NaAcTePt
_chemical_formula_sum 'Na4 Ac4 Te4 Pt4'
_symmetry_space_group_name_H-M 'F -4 3 m'
_symmetry_Int_Tables_number 216
_symmetry_space_group_name_Hall 'F -4 2 3'
_cell_length_a 7.6304
_cell_length_b 7.6304
_cell_length_c 7.6304
_cell_angle_alpha 90.00
_cell_angle_beta 90.00
_cell_angle_gamma 90.00
loop_
_atom_site_label
_atom_site_type_symbol
_atom_site_fract_x
_atom_site_fract_y
_atom_site_fract_z
Na1 Na 0.0000 0.0000 0.0000
Ac1 Ac 0.0000 0.0000 0.5000
Te1 Te 0.2500 0.2500 0.7500
Pt1 Pt 0.2500 0.2500 0.2500


# 11
# NaAcTlPt, relaxed, DFT PBE
# Calculated total energy (eV/atom): -3.8315
# E_form (meV per atom): -373
# Density (Mg/m³): 10.74
data_NaAcTlPt
_chemical_formula_sum 'Na4 Ac4 Tl4 Pt4'
_symmetry_space_group_name_H-M 'F -4 3 m'
_symmetry_Int_Tables_number 216
_symmetry_space_group_name_Hall 'F -4 2 3'
_cell_length_a 7.3782
_cell_length_b 7.3782
_cell_length_c 7.3782
_cell_angle_alpha 90.00
_cell_angle_beta 90.00
_cell_angle_gamma 90.00
loop_
_atom_site_label
_atom_site_type_symbol
_atom_site_fract_x
_atom_site_fract_y
_atom_site_fract_z
Na1 Na 0.0000 0.0000 0.0000
Ac1 Ac 0.2500 0.2500 0.7500
Tl1 Tl 0.2500 0.2500 0.2500
Pt1 Pt 0.0000 0.0000 0.5000